Entry 1:
Here is a geometry-optimized BeFe2Se structure from Alexandria. Energies are from PBE.

Cell: 4.5979 4.5979 4.5979 Å, 135.22 135.22 65.19°
Fractional coordinates of all 4 atoms:
Be 0.0000 0.0000 0.0000
Fe 0.2500 0.7500 0.5000
Fe 0.5000 0.5000 0.0000
Se 0.7500 0.2500 0.5000

Output
The total magnetization is 1.11 μB/atom. The calculation puts the formation energy without anion corrections at 206 meV per atom. The calculation puts the calculated volume at 47.53 Å³/f.u. The calculation puts the uncorrected energy at -0.428 Ry/atom.


Entry 2:
Here is a geometry-optimized TbSm2Ho5 structure from Alexandria. Energies are from PBE.

Cell: 7.1114 14.2229 5.0196 Å, 90.00 90.00 90.00°
Fractional coordinates of all 16 atoms:
Tb 0.0000 0.0000 0.0000
Tb 0.5000 0.5000 0.0000
Sm 0.2503 0.1252 0.5000
Sm 0.2497 0.6252 0.5000
Sm 0.7503 0.3748 0.5000
Sm 0.7497 0.8748 0.5000
Ho 0.0004 0.2502 0.0000
Ho 0.0000 0.5000 0.0000
Ho 0.9996 0.7498 0.0000
Ho 0.2504 0.3748 0.5000
Ho 0.2496 0.8748 0.5000
Ho 0.5000 0.0000 0.0000
Ho 0.5004 0.2498 0.0000
Ho 0.4996 0.7502 0.0000
Ho 0.7504 0.1252 0.5000
Ho 0.7496 0.6252 0.5000

Output
The total magnetization is 0.00 μB/atom. The calculation puts the calculated volume at 253.85 Å³/f.u. The calculation puts the uncorrected energy at -0.338 Ry/atom.


Entry 3:
Here is a geometry-optimized Rb2Tl2Pb structure from Alexandria. Energies are from PBE.

Cell: 8.8785 8.8785 8.8785 Å, 147.10 147.10 47.21°
Fractional coordinates of all 5 atoms:
Rb 0.2500 0.7500 0.5000
Rb 0.7500 0.2500 0.5000
Tl 0.0896 0.0896 0.0000
Tl 0.9104 0.9104 0.0000
Pb 0.5000 0.5000 0.0000

Output
The total magnetization is 0.00 μB/atom. The calculation puts the calculated volume at 205.66 Å³/f.u. The calculation puts the uncorrected energy at -0.138 Ry/atom.


Entry 4:
Here is a geometry-optimized Ce4Ge2I structure from Alexandria. Energies are from PBE.

Cell: 7.8667 7.8667 7.8667 Å, 110.09 110.09 108.24°
Fractional coordinates of all 14 atoms:
Ce 0.1500 0.7352 0.7473
Ce 0.1527 0.2378 0.7527
Ce 0.2648 0.0122 0.4148
Ce 0.4852 0.4000 0.2473
Ce 0.5973 0.8500 0.5852
Ce 0.6000 0.8473 0.0852
Ce 0.7622 0.5148 0.9148
Ce 0.9878 0.4027 0.2527
Ge 0.2369 0.6250 0.1119
Ge 0.3750 0.4869 0.6119
Ge 0.5131 0.1250 0.8881
Ge 0.8750 0.7631 0.3881
I 0.0000 0.0000 0.0000
I 0.7500 0.2500 0.5000

Output
The total magnetization is 0.49 μB/atom. The calculation puts the formation energy without anion corrections at -703 meV per atom. The calculation puts the calculated volume at 187.32 Å³/f.u. The calculation puts the uncorrected energy at -0.414 Ry/atom.


Entry 5:
Here is a geometry-optimized Ho3PaTl4Te8 structure from Alexandria. Energies are from PBE.

Cell: 9.7135 9.7135 9.7135 Å, 54.05 54.05 54.05°
Fractional coordinates of all 16 atoms:
Ho 0.0000 0.5000 0.5000
Ho 0.5000 0.0000 0.5000
Ho 0.5000 0.5000 0.0000
Pa 0.0000 0.0000 0.0000
Tl 0.0000 0.0000 0.5000
Tl 0.0000 0.5000 0.0000
Tl 0.5000 0.0000 0.0000
Tl 0.5000 0.5000 0.5000
Te 0.2395 0.2395 0.7362
Te 0.2395 0.7362 0.2395
Te 0.2628 0.2628 0.2628
Te 0.2638 0.7605 0.7605
Te 0.7362 0.2395 0.2395
Te 0.7372 0.7372 0.7372
Te 0.7605 0.2638 0.7605
Te 0.7605 0.7605 0.2638

Output
The total magnetization is 0.12 μB/atom. The calculation puts the formation energy without anion corrections at -916 meV per atom. The calculation puts the calculated volume at 558.10 Å³/f.u. The calculation puts the uncorrected energy at -0.333 Ry/atom.


Entry 6:
Here is a geometry-optimized SmBr3Cl structure from Alexandria. Energies are from PBE.

Cell: 7.7721 7.9536 8.1034 Å, 67.95 69.46 65.15°
Fractional coordinates of all 10 atoms:
Sm 0.0000 0.0000 0.0000
Sm 0.4602 0.1491 0.8772
Br 0.0918 0.3673 0.7948
Br 0.1830 0.0675 0.2368
Br 0.4049 0.7090 0.3966
Br 0.6229 0.3883 0.5280
Br 0.8652 0.9399 0.7445
Br 0.9811 0.6749 0.2575
Cl 0.3909 0.8625 0.8416
Cl 0.6178 0.2271 0.0773

Output
The total magnetization is 0.00 μB/atom. The calculation puts the formation energy without anion corrections at -1537 meV per atom. The calculation puts the calculated volume at 205.01 Å³/f.u. The calculation puts the uncorrected energy at -0.283 Ry/atom.


- Which of these has the lowest calculated volume?
  BeFe2Se